Record 1
First-principles (PBE) data for crystalline NbRe2Rh2 at its relaxed geometry, as listed in Alexandria via LeMat-Bulk.

## Properties
As for the symmetry: No. 127. The value obtained for the size of the total moment is 0.00 μB/cell. The volume comes out at 157.8 Å³/cell. The theoretical density is 14127 kg/m³. The energy relative to the lowest polymorph listed for this composition is 5 meV/atom.

a b c (Å): 7.5890 7.5890 2.7395
angles (deg): 90.00 90.00 90.00
With the nearest neighbours (Å) after each atom.
Atoms (fractional coordinates):
Re  0.3782  0.8782  0.0000  6 Rh 2.60-2.65, 3 Re 2.61-2.74
Re  0.8782  0.6218  0.0000  6 Rh 2.60-2.65, 3 Re 2.61-2.74
Re  0.6218  0.1218  0.0000  6 Rh 2.60-2.65, 3 Re 2.61-2.74
Re  0.1218  0.3782  0.0000  6 Rh 2.60-2.65, 3 Re 2.61-2.74
Nb  0.0000  0.0000  0.0000  2 Nb 2.74, 4 Re 3.02
Nb  0.5000  0.5000  0.0000  2 Nb 2.74, 4 Re 3.02
Rh  0.1728  0.6728  0.5000  6 Re 2.60-2.65, 2 Rh 2.74
Rh  0.6728  0.8272  0.5000  6 Re 2.60-2.65, 2 Rh 2.74
Rh  0.8272  0.3272  0.5000  6 Re 2.60-2.65, 2 Rh 2.74
Rh  0.3272  0.1728  0.5000  6 Re 2.60-2.65, 2 Rh 2.74


Record 2
First-principles (PBE) data for crystalline AcTm8 at its relaxed geometry, as listed in Alexandria via LeMat-Bulk.

## Properties
As for the symmetry: No. 139. The value obtained for the size of the total moment is 0.00 μB/cell. The volume comes out at 283.5 Å³/cell. The theoretical density is 9246 kg/m³. As for the total energy: -4.38 eV/atom.

a b c (Å): 4.9997 7.9342 7.9342
angles (deg): 84.30 71.63 71.63
With the nearest neighbours (Å) after each atom.
Atoms (fractional coordinates):
Ac  0.0000  0.0000  0.0000  12 Tm 3.59
Tm  0.6712  0.0000  0.6575  10 Tm 3.45-3.65, 2 Ac 3.59
Tm  0.3288  0.0000  0.3425  10 Tm 3.45-3.65, 2 Ac 3.59
Tm  0.0000  0.3374  0.6626  11 Tm 3.46-3.56, 1 Ac 3.59
Tm  0.3288  0.3425  0.0000  10 Tm 3.45-3.65, 2 Ac 3.59
Tm  0.6626  0.3374  0.3374  11 Tm 3.46-3.56, 1 Ac 3.59
Tm  0.6712  0.6575  0.0000  10 Tm 3.45-3.65, 2 Ac 3.59
Tm  0.0000  0.6626  0.3374  11 Tm 3.46-3.56, 1 Ac 3.59
Tm  0.3374  0.6626  0.6626  11 Tm 3.46-3.56, 1 Ac 3.59